No. 1
## YbEuHg2 (PBE)

Data for YbEuHg2 after structural relaxation.

The electronic total energy comes out at -0.1355 Ha/atom. For the formation energy from the elements, the calculation gives -0.5865 eV/atom. The calculation puts the density of states at the Fermi level at 2.2 states/eV/f.u.

The space group is Fm-3m (No. 225) and the conventional cell measures 7.6266, 7.6266 and 7.6266 Å, with angles of 90.00, 90.00 and 90.00 degrees. The inequivalent atoms are Yb at (0.0000, 0.0000, 0.0000), Eu at (0.0000, 0.0000, 0.5000) and Hg at (0.2500, 0.2500, 0.2500).

No. 2
## EuZnHg4 (PBE)

Data for EuZnHg4 after structural relaxation.

The electronic total energy comes out at -0.0812 Ha/atom. For the formation energy from the elements, the calculation gives -0.0824 eV/atom. The calculation puts the density of states at the Fermi level at 7.5 states/eV/f.u.

The space group is F-43m (No. 216) and the conventional cell measures 8.6190, 8.6190 and 8.6190 Å, with angles of 90.00, 90.00 and 90.00 degrees. The inequivalent atoms are Eu at (0.0000, 0.0000, 0.0000), Zn at (0.2500, 0.2500, 0.2500) and Hg at (0.1248, 0.1248, 0.6248).

No. 3
## EuZnHg2 (PBE)

Data for EuZnHg2 after structural relaxation.

The electronic total energy comes out at -0.1209 Ha/atom. For the formation energy from the elements, the calculation gives -0.2516 eV/atom. The calculation puts the density of states at the Fermi level at 6.2 states/eV/f.u.

The space group is P4/mmm (No. 123) and the conventional cell measures 3.7411, 3.7411 and 7.1037 Å, with angles of 90.00, 90.00 and 90.00 degrees. The inequivalent atoms are Eu at (0.0000, 0.0000, 0.0000), Zn at (0.0000, 0.0000, 0.5000) and Hg at (0.5000, 0.5000, 0.2825).

No. 4
## EuZnHg2 (PBE)

Data for EuZnHg2 after structural relaxation.

The electronic total energy comes out at -0.1228 Ha/atom. For the formation energy from the elements, the calculation gives -0.3029 eV/atom. The calculation puts the density of states at the Fermi level at 9.0 states/eV/f.u.

The space group is Fm-3m (No. 225) and the conventional cell measures 7.2923, 7.2923 and 7.2923 Å, with angles of 90.00, 90.00 and 90.00 degrees. The inequivalent atoms are Eu at (0.0000, 0.0000, 0.0000), Zn at (0.0000, 0.0000, 0.5000) and Hg at (0.2500, 0.2500, 0.2500).

No. 5
## EuZnHg2 (PBE)

Data for EuZnHg2 after structural relaxation.

The electronic total energy comes out at -0.1219 Ha/atom. For the formation energy from the elements, the calculation gives -0.2803 eV/atom. The calculation puts the density of states at the Fermi level at 9.2 states/eV/f.u.

The space group is P4/mmm (No. 123) and the conventional cell measures 4.6928, 4.6928 and 4.6439 Å, with angles of 90.00, 90.00 and 90.00 degrees. The inequivalent atoms are Eu at (0.0000, 0.0000, 0.0000), Zn at (0.5000, 0.5000, 0.0000) and Hg at (0.0000, 0.5000, 0.5000).

No. 6
## EuZrHg2 (PBE)

Data for EuZrHg2 after structural relaxation.

The electronic total energy comes out at -0.1883 Ha/atom. For the formation energy from the elements, the calculation gives -0.2677 eV/atom. The calculation puts the density of states at the Fermi level at 7.5 states/eV/f.u.

The space group is P4/mmm (No. 123) and the conventional cell measures 3.5973, 3.5973 and 7.7681 Å, with angles of 90.00, 90.00 and 90.00 degrees. The inequivalent atoms are Eu at (0.0000, 0.0000, 0.0000), Zr at (0.0000, 0.0000, 0.5000) and Hg at (0.5000, 0.5000, 0.2809).

No. 7
## EuZrHg2 (PBE)

Data for EuZrHg2 after structural relaxation.

The electronic total energy comes out at -0.1821 Ha/atom. For the formation energy from the elements, the calculation gives -0.0981 eV/atom. The calculation puts the density of states at the Fermi level at 6.5 states/eV/f.u.

The space group is R-3m (No. 166, hexagonal axes) and the conventional cell measures 3.5574, 3.5574 and 28.9942 Å, with angles of 90.00, 90.00 and 120.00 degrees. The inequivalent atoms are Eu at (0.0000, 0.0000, 0.0000), Zr at (0.0000, 0.0000, 0.5000) and Hg at (0.0000, 0.0000, 0.2435).

No. 8
## EuHo5 (PBE)

Data for EuHo5 after structural relaxation.

The electronic total energy comes out at -0.2008 Ha/atom. For the formation energy from the elements, the calculation gives 0.0622 eV/atom. The calculation puts the density of states at the Fermi level at 8.6 states/eV/f.u.

The space group is Cmmm (No. 65) and the conventional cell measures 5.0531, 15.1350 and 5.0340 Å, with angles of 90.00, 90.00 and 90.00 degrees. The inequivalent atoms are Eu at (0.0000, 0.0000, 0.0000), Ho at (0.0000, 0.1705, 0.5000), Ho at (0.0000, 0.3292, 0.0000) and Ho at (0.0000, 0.5000, 0.5000).

Which formula does entry 2 have? EuZnHg4

The highest electronic total energy belongs to which entry? EuZnHg4